Ce2UZnN5 after structural relaxation, computed with PBE.

Cell and atoms, written as POSCAR:
```
Ce2UZnN5
1.0
3.477 0.000 0.000
-1.739 6.856 0.000
0.000 0.000 10.410
Ce U Zn N
4 2 2 10
direct
0.874 0.748 0.800
0.107 0.214 0.686
0.126 0.252 0.300
0.893 0.786 0.186
0.795 0.590 0.507
0.205 0.410 0.007
0.515 0.030 0.972
0.485 0.970 0.472
0.359 0.718 0.009
0.704 0.408 0.873
0.494 0.988 0.778
0.282 0.565 0.643
0.946 0.893 0.555
0.641 0.282 0.509
0.296 0.592 0.373
0.506 0.012 0.278
0.718 0.435 0.143
0.054 0.107 0.055
```

Magnetization = 0.11 μB per atom
Mass density = 8.7 g/cm³
Space group = Cmc2_1 (36)
ΔE_f (raw) = -1.084 eV per atom

---

CeZr2UN4 after structural relaxation, computed with PBE.

Cell and atoms, written as POSCAR:
```
CeZr2UN4
1.0
-2.589 -1.966 0.486
2.819 0.519 6.004
-5.947 8.341 2.071
Ce Zr U N
2 4 2 8
direct
0.245 0.491 0.750
0.755 0.509 0.250
0.376 0.752 0.481
0.624 0.248 0.981
0.624 0.248 0.519
0.376 0.752 0.019
0.971 0.942 0.750
0.029 0.058 0.250
0.198 0.395 0.101
0.802 0.605 0.601
0.802 0.605 0.899
0.198 0.395 0.399
0.000 0.000 0.500
0.000 0.000 0.000
0.593 0.185 0.750
0.407 0.815 0.250
```

Magnetization = 0.23 μB per atom
Mass density = 9.2 g/cm³
Space group = Cmcm (63)
ΔE_f (raw) = -1.341 eV per atom

---

Ce3Zr2UN6 after structural relaxation, computed with PBE.

Cell and atoms, written as POSCAR:
```
Ce3Zr2UN6
1.0
-2.555 3.384 -4.069
-2.330 -0.390 5.381
4.816 3.455 1.266
Ce Zr U N
3 2 1 6
direct
0.168 0.832 0.500
0.832 0.168 0.500
0.500 0.500 0.500
0.334 0.666 0.000
0.666 0.334 0.000
0.000 0.000 0.000
0.928 0.598 0.783
0.744 0.744 0.217
0.072 0.402 0.217
0.598 0.928 0.783
0.256 0.256 0.783
0.402 0.072 0.217
```

Magnetization = 0.00 μB per atom
Mass density = 9.0 g/cm³
Space group = C2/m (12)
ΔE_f (raw) = -1.603 eV per atom

---

Ce3Zr3UN8 after structural relaxation, computed with PBE.

Cell and atoms, written as POSCAR:
```
Ce3Zr3UN8
1.0
6.691 0.000 0.000
-3.346 5.795 -0.020
0.000 -3.843 5.787
Ce Zr U N
3 3 1 8
direct
0.000 0.000 0.000
0.000 0.500 0.000
0.500 0.500 0.000
0.500 0.000 0.500
0.500 0.500 0.500
0.000 0.500 0.500
0.000 0.000 0.500
0.258 0.516 0.273
0.742 0.484 0.727
0.770 0.540 0.290
0.230 0.460 0.710
0.770 0.020 0.290
0.230 0.980 0.710
0.249 0.020 0.290
0.751 0.980 0.710
```

Magnetization = 0.08 μB per atom
Mass density = 7.7 g/cm³
Space group = R-3m (166)
ΔE_f (raw) = -1.481 eV per atom

---

CeZr3U2N6 after structural relaxation, computed with PBE.

Cell and atoms, written as POSCAR:
```
CeZr3U2N6
1.0
3.347 0.000 0.000
0.000 6.788 0.181
-1.674 -2.021 7.082
Ce Zr U N
1 3 2 6
direct
0.500 0.000 0.000
0.500 0.500 0.000
0.835 0.168 0.669
0.165 0.832 0.331
0.832 0.665 0.665
0.168 0.335 0.335
0.327 0.918 0.653
0.664 0.590 0.327
0.673 0.082 0.347
0.000 0.268 0.000
0.000 0.732 0.000
0.336 0.410 0.673
```

Magnetization = 0.22 μB per atom
Mass density = 10.0 g/cm³
Space group = C2/m (12)
ΔE_f (raw) = -1.570 eV per atom

---

Ce2ZrUN4 after structural relaxation, computed with PBE.

Cell and atoms, written as POSCAR:
```
Ce2ZrUN4
1.0
-0.725 -2.459 -2.283
1.566 -4.108 3.927
-5.904 1.152 0.635
Ce Zr U N
2 1 1 4
direct
0.500 0.000 0.500
0.000 0.500 0.500
0.000 0.000 0.000
0.500 0.500 0.000
0.500 0.243 0.218
0.500 0.757 0.782
0.000 0.259 0.782
0.000 0.741 0.218
```

Magnetization = 0.05 μB per atom
Mass density = 9.5 g/cm³
Space group = P2/m (10)
ΔE_f (raw) = -1.562 eV per atom

---

Ce3VN5 after structural relaxation, computed with PBE.

Cell and atoms, written as POSCAR:
```
Ce3VN5
1.0
-5.086 -0.559 4.248
-4.270 0.118 -5.097
4.976 -5.368 0.045
Ce V N
6 2 10
direct
0.673 0.173 0.000
0.327 0.827 0.000
0.827 0.673 0.000
0.173 0.327 0.000
0.250 0.250 0.500
0.750 0.750 0.500
0.750 0.250 0.500
0.250 0.750 0.500
0.002 0.502 0.705
0.703 0.203 0.705
0.203 0.002 0.705
0.502 0.703 0.705
0.998 0.498 0.295
0.297 0.797 0.295
0.797 0.998 0.295
0.498 0.297 0.295
0.500 0.500 0.000
0.000 0.000 0.000
```

Magnetization = 0.20 μB per atom
Mass density = 7.2 g/cm³
Space group = I4/mcm (140)
ΔE_f (raw) = -1.357 eV per atom

---

Ce2VN after structural relaxation, computed with PBE.

Cell and atoms, written as POSCAR:
```
Ce2VN
1.0
3.284 0.000 0.000
1.642 2.844 0.000
1.642 0.948 8.203
N Ce V
1 2 1
direct
0.500 0.500 0.500
0.105 0.105 0.685
0.895 0.895 0.315
0.000 0.000 0.000
```

Magnetization = 0.44 μB per atom
Mass density = 7.5 g/cm³
Space group = R-3m (166)
ΔE_f (raw) = -0.217 eV per atom

---

CeVN after structural relaxation, computed with PBE.

Cell and atoms, written as POSCAR:
```
CeVN
1.0
-0.417 -0.250 5.525
-1.494 -2.690 -0.234
3.077 0.041 0.234
N Ce V
1 1 1
direct
0.280 0.333 0.667
0.597 0.667 0.333
0.123 0.000 0.000
```

Magnetization = 0.00 μB per atom
E above lowest polymorph = 0.0 meV per atom
Mass density = 7.4 g/cm³
Space group = P3m1 (156)
ΔE_f (raw) = -0.646 eV per atom

---

CeVN after structural relaxation, computed with PBE.

Cell and atoms, written as POSCAR:
```
CeVN
1.0
2.794 0.000 0.000
0.000 2.794 0.000
-1.397 -1.397 5.673
V Ce N
1 1 1
direct
0.273 0.273 0.546
0.987 0.987 0.974
0.740 0.740 0.481
```

Magnetization = 0.00 μB per atom
E above lowest polymorph = 174.3 meV per atom
Mass density = 7.7 g/cm³
Space group = I4mm (107)
ΔE_f (raw) = -0.471 eV per atom

---

CeVN2 after structural relaxation, computed with PBE.

Cell and atoms, written as POSCAR:
```
CeVN2
1.0
-0.829 4.536 2.870
-3.736 -1.677 -3.568
-2.948 -3.546 4.753
Ce V N
3 3 6
direct
0.348 0.348 0.000
0.000 0.652 0.667
0.652 0.000 0.333
0.374 0.374 0.500
0.000 0.626 0.167
0.626 0.000 0.833
0.877 0.344 0.970
0.468 0.123 0.636
0.656 0.532 0.303
0.344 0.877 0.030
0.123 0.468 0.364
0.532 0.656 0.697
```

Magnetization = 0.19 μB per atom
Mass density = 6.5 g/cm³
Space group = P3_121 (152)
ΔE_f (raw) = -1.194 eV per atom

---

Ce2VN4 after structural relaxation, computed with PBE.

Cell and atoms, written as POSCAR:
```
Ce2VN4
1.0
5.694 0.000 -0.087
0.000 5.684 0.000
-2.192 0.000 6.480
Ce V N
4 2 8
direct
0.688 0.750 0.026
0.312 0.250 0.974
0.221 0.250 0.437
0.779 0.750 0.563
0.246 0.750 0.198
0.754 0.250 0.802
0.461 0.506 0.259
0.066 0.750 0.927
0.934 0.250 0.073
0.461 0.994 0.259
0.971 0.250 0.658
0.539 0.006 0.741
0.539 0.494 0.741
0.029 0.750 0.342
```

Magnetization = 0.15 μB per atom
Mass density = 6.2 g/cm³
Space group = P2_1/m (11)
ΔE_f (raw) = -1.193 eV per atom

---

Question: Which value of ΔE_f (raw) does entry 9 give?
Answer: -0.646 eV per atom

---

Please write out number 10 again, unchanged.
CeVN after structural relaxation, computed with PBE.

Cell and atoms, written as POSCAR:
```
CeVN
1.0
2.794 0.000 0.000
0.000 2.794 0.000
-1.397 -1.397 5.673
V Ce N
1 1 1
direct
0.273 0.273 0.546
0.987 0.987 0.974
0.740 0.740 0.481
```

Magnetization = 0.00 μB per atom
E above lowest polymorph = 174.3 meV per atom
Mass density = 7.7 g/cm³
Space group = I4mm (107)
ΔE_f (raw) = -0.471 eV per atom

---

Question: Which value of magnetization does entry 12 give?
Answer: 0.15 μB per atom

---

Question: The highest magnetization belongs to which entry?
Answer: Ce2VN